# CoTcIO2 | the Alexandria database | GGA+U | relaxed
# * spin magnetization: 7.7 μB/cell
# * VASP energy: -24.57 eV per cell
# * distance to the lowest polymorph of the same formula: 910 meV per atom
data_CoTcIO2
_space_group_name_H-M_alt 'P 4/m m m'
_space_group_IT_number 123
_space_group_name_Hall '-P 4 2'
_cell_length_a 3.8245
_cell_length_b 3.8245
_cell_length_c 6.5270
_cell_angle_alpha 90.00
_cell_angle_beta 90.00
_cell_angle_gamma 90.00
loop_
_atom_site_label
_atom_site_type_symbol
_atom_site_fract_x
_atom_site_fract_y
_atom_site_fract_z
Co1 Co 0.0000 0.0000 0.0000
Tc1 Tc 0.5000 0.5000 0.5000
I1 I 0.0000 0.0000 0.5000
O1 O 0.0000 0.5000 0.0000